PrEuAgRh after structural relaxation. Source: the Alexandria database, functional PBE-GGA.

Calculated values
* SG: No. 216
* formation energy: -147 kJ/mol of formula units

```
4
Lattice="-4.325 -1.736 2.222 -2.517 -4.019 -2.042 -0.003 -4.552 2.436" Properties=species:S:1:pos:R:3 pbc="T T T"
Eu 0.000 0.000 0.000
Pr -3.423 -5.154 1.308
Rh -5.135 -7.730 1.962
Ag -1.712 -2.577 0.654
```

=====

Ta2NiPd5 after structural relaxation. Source: the Alexandria database, functional PBE-GGA.

Calculated values
* SG: No. 55
* formation energy: -204 kJ/mol of formula units

```
16
Lattice="-1.157 -3.733 0.207 4.287 -1.510 -3.268 6.363 -1.470 9.027" Properties=species:S:1:pos:R:3 pbc="T T T"
Ta 4.389 -3.138 4.927
Ta 5.105 -3.575 1.039
Ta 1.312 -2.439 0.334
Ta 8.181 -4.274 5.632
Ni 3.181 -0.735 4.513
Ni 2.144 -0.755 -1.634
Pd 0.000 0.000 0.000
Pd 5.325 -1.490 2.879
Pd 6.934 -1.862 5.156
Pd 3.716 -1.118 0.602
Pd 5.891 -1.880 -0.987
Pd 4.759 -1.100 6.745
Pd 6.096 -3.541 7.199
Pd 3.397 -3.173 -1.234
Pd 2.882 -2.794 2.711
Pd 6.611 -3.919 3.255
```